# AlCr2Ir

An optimized crystal structure of AlCr2Ir (PBE, Alexandria via LeMat-Bulk).

abc: 2.6105 2.6105 8.4932
angles: 90.00 90.00 113.06
Closest atoms and distances in Å follow each position.
Sites, in units of the cell vectors:
Cr: 0.0000 0.0000 0.9981  2 Al 2.55, 2 Ir 2.58, 4 Cr 2.61
Cr: 0.0000 0.0000 0.5019  2 Al 2.55, 2 Ir 2.58, 4 Cr 2.61
Ir: 0.5000 0.5000 0.2500  4 Cr 2.58, 6 Ir 2.61-2.88
Al: 0.5000 0.5000 0.7500  4 Cr 2.55, 4 Al 2.61

Total energy (eV/f.u.): -31.39
M_tot (μB per cell): 0.000
Symmetry: No. 65


# Al2CrIr

An optimized crystal structure of Al2CrIr (PBE, Alexandria via LeMat-Bulk).

abc: 8.6377 8.6377 8.6377
angles: 18.57 18.57 18.57
Closest atoms and distances in Å follow each position.
Sites, in units of the cell vectors:
Ir: 0.2469 0.2469 0.2469  3 Cr 2.55, 3 Al 2.65, 6 Ir 2.79
Al: 0.7544 0.7544 0.7544  3 Cr 2.62, 9 Al 2.79-2.83
Al: 0.9964 0.9964 0.9964  3 Ir 2.65, 9 Al 2.79-2.83
Cr: 0.5024 0.5024 0.5024  3 Ir 2.55, 3 Al 2.62, 6 Cr 2.79

Total energy (eV/f.u.): -26.78
M_tot (μB per cell): 0.000
Symmetry: No. 160


# AlCr2Ir

An optimized crystal structure of AlCr2Ir (PBE, Alexandria via LeMat-Bulk).

abc: 4.9737 4.9737 4.9737
angles: 145.35 132.32 60.27
Closest atoms and distances in Å follow each position.
Sites, in units of the cell vectors:
Cr: 0.4982 0.4982 0.0000  4 Cr 2.50, 2 Al 2.60, 2 Ir 2.62
Cr: 0.0018 0.0018 0.0000  4 Cr 2.50, 2 Al 2.60, 2 Ir 2.62
Ir: 0.7500 0.2500 0.5000  4 Al 2.50, 4 Cr 2.62
Al: 0.2500 0.7500 0.5000  4 Ir 2.50, 4 Cr 2.60

Total energy (eV/f.u.): -33.03
M_tot (μB per cell): 0.000
Symmetry: No. 71


# AlCr2Ir

An optimized crystal structure of AlCr2Ir (PBE, Alexandria via LeMat-Bulk).

abc: 2.6820 2.6820 8.1211
angles: 90.00 90.00 114.30
Closest atoms and distances in Å follow each position.
Sites, in units of the cell vectors:
Cr: 0.0000 0.0000 0.0140  2 Cr 2.29, 2 Al 2.56
Cr: 0.5000 0.5000 0.2321  2 Cr 2.29
Ir: 0.0000 0.0000 0.4992  2 Al 2.53, 2 Cr 2.61, 4 Ir 2.68
Al: 0.5000 0.5000 0.7547  2 Ir 2.53, 2 Cr 2.56, 4 Al 2.68

Total energy (eV/f.u.): -31.93
M_tot (μB per cell): 0.000
Symmetry: No. 35


# AlCr2Ir

An optimized crystal structure of AlCr2Ir (PBE, Alexandria via LeMat-Bulk).

abc: 5.0742 4.7939 2.6454
angles: 83.76 71.57 116.23
Closest atoms and distances in Å follow each position.
Sites, in units of the cell vectors:
Al: 0.5000 0.5000 0.0000  2 Ir 2.46, 4 Cr 2.61, 2 Al 2.65
Ir: 0.0000 0.5000 0.5000  2 Al 2.46, 4 Cr 2.61, 2 Ir 2.65
Cr: 0.0000 0.0000 0.0000  4 Cr 2.46-2.65, 2 Al 2.61, 2 Ir 2.61
Cr: 0.5000 0.0000 0.5000  4 Cr 2.46-2.65, 2 Ir 2.61, 2 Al 2.61

Total energy (eV/f.u.): -32.33
M_tot (μB per cell): 0.000
Symmetry: No. 12


# AlCr5Ir6

An optimized crystal structure of AlCr5Ir6 (PBE, Alexandria via LeMat-Bulk).

abc: 3.8437 7.1113 7.1113
angles: 108.99 105.68 105.68
Closest atoms and distances in Å follow each position.
Sites, in units of the cell vectors:
Cr: 0.0000 0.6641 0.3359  4 Cr 2.64-2.70, 8 Ir 2.65-2.66
Cr: 0.5000 0.1800 0.8200  8 Ir 2.54-2.76, 2 Cr 2.64, 2 Al 2.83
Cr: 0.5000 0.8200 0.1800  8 Ir 2.54-2.76, 2 Cr 2.64, 2 Al 2.83
Cr: 0.5000 0.5000 0.5000  8 Ir 2.66-2.68, 4 Cr 2.70
Cr: 0.0000 0.3359 0.6641  4 Cr 2.64-2.70, 8 Ir 2.65-2.66
Ir: 0.2518 0.7517 0.7517  2 Al 2.64, 6 Cr 2.65-2.76, 4 Ir 2.74
Ir: 0.2492 0.0810 0.4174  7 Cr 2.54-2.68, 1 Al 2.67, 4 Ir 2.70-2.74
Ir: 0.7508 0.5826 0.9190  7 Cr 2.54-2.68, 1 Al 2.67, 4 Ir 2.70-2.74
Ir: 0.7508 0.9190 0.5826  7 Cr 2.54-2.68, 1 Al 2.67, 4 Ir 2.70-2.74
Ir: 0.2492 0.4174 0.0810  7 Cr 2.54-2.68, 1 Al 2.67, 4 Ir 2.70-2.74
Ir: 0.7482 0.2483 0.2483  2 Al 2.64, 6 Cr 2.65-2.76, 4 Ir 2.74
Al: 0.0000 0.0000 0.0000  8 Ir 2.64-2.67, 4 Cr 2.83

Total energy (eV/f.u.): -108.37
M_tot (μB per cell): 1.536
Symmetry: No. 71


Please write out number 5 again, unchanged.
# AlCr2Ir

An optimized crystal structure of AlCr2Ir (PBE, Alexandria via LeMat-Bulk).

abc: 5.0742 4.7939 2.6454
angles: 83.76 71.57 116.23
Closest atoms and distances in Å follow each position.
Sites, in units of the cell vectors:
Al: 0.5000 0.5000 0.0000  2 Ir 2.46, 4 Cr 2.61, 2 Al 2.65
Ir: 0.0000 0.5000 0.5000  2 Al 2.46, 4 Cr 2.61, 2 Ir 2.65
Cr: 0.0000 0.0000 0.0000  4 Cr 2.46-2.65, 2 Al 2.61, 2 Ir 2.61
Cr: 0.5000 0.0000 0.5000  4 Cr 2.46-2.65, 2 Ir 2.61, 2 Al 2.61

Total energy (eV/f.u.): -32.33
M_tot (μB per cell): 0.000
Symmetry: No. 12